# 1
Density functional theory data (PBE-GGA) for a relaxed structure of Cs4TeS.

a b c (Å): 8.572 8.574 8.707
angles (deg): 90.06 90.00 90.00
Fractional coordinates of all 12 atoms:
Cs (0.250, 0.750, 0.767)
Cs (0.750, 0.750, 0.233)
Cs (0.750, 0.250, 0.233)
Te (0.500, 0.000, 0.500)
Te (0.000, 0.500, 0.500)
Cs (0.750, 0.250, 0.768)
S (0.500, 0.500, 0.000)
Cs (0.250, 0.250, 0.232)
Cs (0.750, 0.750, 0.768)
S (0.000, 0.000, 0.000)
Cs (0.250, 0.750, 0.232)
Cs (0.250, 0.250, 0.767)

Results
- Size of the total moment: 0.00 μB per cell
- Crystal system: monoclinic
- Polymorph energy (0 for the lowest one): 0 meV/atom
- Uncorrected formation energy: -1008 meV/atom

***

# 2
Density functional theory data (PBE-GGA) for a relaxed structure of Rb2AgAsI6.

a b c (Å): 8.580 8.579 8.672
angles (deg): 60.35 60.35 60.00
Fractional coordinates of all 10 atoms:
Rb (0.052, 0.052, 0.845)
I (0.490, 0.644, 0.758)
I (0.108, 0.490, 0.758)
I (0.644, 0.108, 0.758)
As (0.318, 0.318, 0.047)
I (0.034, 0.556, 0.251)
I (0.556, 0.159, 0.250)
I (0.159, 0.034, 0.250)
Ag (0.747, 0.747, 0.760)
Rb (0.554, 0.554, 0.339)

Results
- Size of the total moment: 0.00 μB per cell
- Crystal system: trigonal
- Polymorph energy (0 for the lowest one): 0 meV/atom
- Uncorrected formation energy: -708 meV/atom

***

# 3
Density functional theory data (PBE-GGA) for a relaxed structure of La8Os3RuBr4.

a b c (Å): 8.405 9.208 8.403
angles (deg): 117.15 120.01 90.00
Fractional coordinates of all 16 atoms:
La (0.268, 0.304, 0.536)
Os (0.500, 0.500, 0.000)
Os (0.000, 0.500, 0.500)
La (0.232, 0.695, 0.963)
Br (0.000, 0.000, 0.000)
Br (0.500, 0.000, 0.000)
Br (0.000, 0.000, 0.500)
La (0.768, 0.306, 0.536)
La (0.232, 0.694, 0.464)
La (0.731, 0.695, 0.963)
La (0.732, 0.696, 0.464)
La (0.269, 0.305, 0.037)
Br (0.500, 0.000, 0.500)
Os (0.500, 0.500, 0.500)
La (0.768, 0.305, 0.037)
Ru (0.000, 0.500, 0.000)

Results
- Size of the total moment: 0.00 μB per cell
- Crystal system: trigonal
- Uncorrected formation energy: -833 meV/atom

***

# 4
Density functional theory data (PBE-GGA) for a relaxed structure of Ho3Sb.

a b c (Å): 4.015 5.132 6.447
angles (deg): 113.45 108.14 90.00
Fractional coordinates of all 4 atoms:
Ho (0.720, 0.135, 0.439)
Ho (0.500, 0.418, 0.000)
Sb (0.000, 0.918, 0.000)
Ho (0.280, 0.696, 0.561)

Results
- Size of the total moment: 0.00 μB per cell
- Crystal system: orthorhombic
- Polymorph energy (0 for the lowest one): 102 meV/atom
- Uncorrected formation energy: -472 meV/atom

***

# 5
Density functional theory data (PBE-GGA) for a relaxed structure of SrSb3Rh.

a b c (Å): 5.870 5.870 5.870
angles (deg): 90.00 90.00 90.00
Each line ends with the local moment (μB).
Fractional coordinates of all 5 atoms:
Rh (0.500, 0.500, 0.500)  1.38
Sb (0.000, 0.000, 0.500)  0.05
Sr (0.000, 0.000, 0.000)  0.03
Sb (0.000, 0.500, 0.000)  0.04
Sb (0.500, 0.000, 0.000)  0.01

Results
- Size of the total moment: 1.74 μB per cell
- Crystal system: cubic
- Polymorph energy (0 for the lowest one): 1634 meV/atom
- Uncorrected formation energy: 1441 meV/atom

***

# 6
Density functional theory data (PBE-GGA) for a relaxed structure of NbTcW.

a b c (Å): 4.546 4.483 5.292
angles (deg): 90.00 115.38 90.00
Fractional coordinates of all 6 atoms:
W (0.701, 0.500, 0.766)
Tc (0.368, 0.500, 0.101)
Tc (0.038, 0.500, 0.441)
W (0.538, 0.000, 0.440)
Nb (0.873, 0.000, 0.112)
Nb (0.204, 0.000, 0.772)

Results
- Size of the total moment: 0.00 μB per cell
- Crystal system: orthorhombic
- Polymorph energy (0 for the lowest one): 78 meV/atom
- Formation enthalpy at 0 K: -2.08 kcal/mol of atoms

***

# 7
Density functional theory data (PBE-GGA) for a relaxed structure of NaInCuS2.

a b c (Å): 4.758 6.695 7.223
angles (deg): 89.67 90.00 90.00
Fractional coordinates of all 10 atoms:
S (0.742, 0.256, 0.582)
Na (0.192, 0.500, 0.750)
Cu (0.000, 0.000, 0.500)
Na (0.808, 0.500, 0.250)
In (0.579, 0.000, 0.250)
S (0.742, 0.744, 0.918)
Cu (0.000, 0.000, 0.000)
S (0.258, 0.744, 0.418)
S (0.258, 0.256, 0.082)
In (0.421, 0.000, 0.750)

Results
- Size of the total moment: 0.00 μB per cell
- Crystal system: monoclinic
- Uncorrected formation energy: -494 meV/atom

***

- What is the size of the total moment in the seventh record?
  0.00 μB per cell